# In2SbRu PBEsol relaxed
data_In2SbRu
_chemical_formula_sum 'In4 Sb2 Ru2'
_cell_length_a 9.642
_cell_length_b 3.154
_cell_length_c 6.550
_cell_angle_alpha 90.00
_cell_angle_beta 112.49
_cell_angle_gamma 90.00
_space_group_name_H-M_alt 'C 1 m 1'
_space_group_IT_number 8
loop_
_space_group_symop_operation_xyz
'x,y,z'
'x,-y,z'
'x+1/2,y+1/2,z'
'x+1/2,-y+1/2,z'
loop_
_atom_site_label
_atom_site_type_symbol
_atom_site_fract_x
_atom_site_fract_y
_atom_site_fract_z
_atom_site_occupancy
In1 In 0.000 0.000 0.000 1
In2 In 0.175 0.000 0.656 1
Sb1 Sb 0.333 0.500 0.293 1
Ru1 Ru 0.443 0.000 0.637 1
# Total moment = 0.00 Bohr magnetons per cell
# Uncorrected energy = -5.155 eV/atom
# Energy relative to the elements, uncorrected = 0.02 eV per atom
# Calculated volume = 23.0 Å³/atom